Entry from the Alexandria database: an optimized crystal structure of Nd2MnNi3Pt12 (PBE).

Results
Energy of formation   -110.3 meV/atom
V   18.7 Å³ per atom
DFT total energy   -6.140 eV per atom

Cell: 6.7341 6.7341 25.7291 Å, 90.00 90.00 120.00°
Last column: nearest neighbours and their distance in Å.
Space group R-3m (No. 166, hexagonal axes)
Asymmetric unit:
Nd  0.0000  0.0000  0.1569 [6 per cell]  6 Pt 3.02-3.23
Mn  0.0000  0.0000  0.5000 [3 per cell]  6 Pt 2.43
Ni  0.0000  0.5000  0.0000 [9 per cell]  6 Pt 2.48-2.52
Pt  0.0507  0.5253  0.0974 [18 per cell]  1 Mn 2.43, 1 Ni 2.52, 2 Pt 2.62
Pt  0.0654  0.5327  0.6195 [18 per cell]  2 Ni 2.48, 4 Pt 2.62-2.71

***

Entry from the Alexandria database: an optimized crystal structure of Nd2MnSi3Ni12 (PBE).

Results
V   13.8 Å³ per atom
Formation energy without anion corrections   -0.08 eV per atom
DFT total energy   -5.876 eV per atom

Cell: 8.5184 8.5184 11.8918 Å, 90.00 90.00 120.00°
Last column: nearest neighbours and their distance in Å.
Space group R-3m (No. 166, hexagonal axes)
Asymmetric unit:
Nd  0.0000  0.0000  0.1509 [6 per cell]  9 Ni 2.55-2.82
Mn  0.0000  0.0000  0.5000 [3 per cell]  6 Ni 2.39
Si  0.0000  0.5000  0.0000 [9 per cell]  6 Ni 2.29-2.49
Ni  0.0120  0.5060  0.1920 [18 per cell]  1 Si 2.29, 3 Ni 2.35-2.45, 1 Mn 2.39, 1 Nd 2.55
Ni  0.0166  0.5083  0.3898 [18 per cell]  2 Ni 2.35-2.63, 2 Si 2.49

***

Entry from the Alexandria database: an optimized crystal structure of NdMnSi2Ni (PBE).

Results
V   16.0 Å³ per atom
Formation energy without anion corrections   -0.65 eV per atom
DFT total energy   -6.760 eV per atom

Cell: 4.0137 4.0137 9.9087 Å, 90.00 90.00 90.00°
Last column: nearest neighbours and their distance in Å.
Space group I-4m2 (No. 119)
Asymmetric unit:
Nd  0.0000  0.0000  0.0000 [2 per cell]  8 Si 3.13, 4 Mn 3.19, 4 Ni 3.19
Mn  0.0000  0.5000  0.2500 [2 per cell]  4 Si 2.32
Si  0.0000  0.0000  0.3678 [4 per cell]  2 Mn 2.32, 2 Ni 2.32
Ni  0.0000  0.5000  0.7500 [2 per cell]  4 Si 2.32

***

Entry from the Alexandria database: an optimized crystal structure of NdNpMn (PBE).

Results
Energy of formation   141.3 meV/atom
V   22.5 Å³ per atom
DFT total energy   -8.818 eV per atom

Cell: 5.0051 4.6183 5.9699 Å, 90.00 102.51 90.00°
Last column: nearest neighbours and their distance in Å.
Space group P2_1/m (No. 11)
Asymmetric unit:
Nd  0.2382  0.2500  0.4345 [2 per cell]  4 Mn 3.09-3.21, 2 Nd 3.45
Np  0.3653  0.7500  0.9939 [2 per cell]  1 Mn 2.19
Mn  0.0317  0.2500  0.9072 [2 per cell]  1 Np 2.19